A relaxed structure of Cs2NaHgAs2, computed with GGA-PBE.

Cell: 7.076 7.123 9.743 Å, 111.44 111.29 90.00°
Positions (direct):
Na 0.000 0.250 0.000
As 0.189 0.911 0.821
Cs 0.074 0.330 0.661
As 0.632 0.411 0.821
Na 0.000 0.750 0.000
As 0.368 0.589 0.179
Hg 0.500 0.750 0.000
As 0.811 0.089 0.179
Cs 0.926 0.670 0.339
Hg 0.500 0.250 0.000
Cs 0.586 0.830 0.661
Cs 0.414 0.170 0.339

Properties
* energy of formation: -0.31 eV/atom
* space-group type: Ibam